[1]
A geometry-optimized BaCa2SnPt structure. Source: the Alexandria database, functional PBE-GGA.

N(E_F): 3.220 states/eV/f.u.
electronic total energy: -3.724 eV per atom
formation energy from the elements: -2.65 eV/f.u.
magnetic moment: 0.000 μB per atom

a = 5.6236 Å, b = 5.3392 Å, c = 5.6236 Å
α = 90.00°, β = 90.00°, γ = 90.00°
Fractional positions:
Ca 0.0000 0.0000 0.5000
Ca 0.5000 0.0000 0.0000
Ba 0.5000 0.5000 0.5000
Pt 0.0000 0.0000 0.0000
Sn 0.0000 0.5000 0.0000



[2]
A geometry-optimized BaCaSn2Pt2 structure. Source: the Alexandria database, functional PBE-GGA.

N(E_F): 4.952 states/eV/f.u.
electronic total energy: -4.845 eV per atom
formation energy from the elements: -5.06 eV/f.u.
magnetic moment: 0.000 μB per atom

a = 4.7773 Å, b = 4.7773 Å, c = 7.9318 Å
α = 90.00°, β = 90.00°, γ = 120.00°
Fractional positions:
Ba 0.0000 0.0000 0.0000
Ca 0.0000 0.0000 0.5000
Sn 0.6667 0.3333 0.6926
Sn 0.3333 0.6667 0.3074
Pt 0.6667 0.3333 0.3125
Pt 0.3333 0.6667 0.6875



[3]
A geometry-optimized Ba2CaSn4Pt3 structure. Source: the Alexandria database, functional PBE-GGA.

N(E_F): 7.027 states/eV/f.u.
electronic total energy: -4.702 eV per atom
formation energy from the elements: -7.04 eV/f.u.
magnetic moment: 0.000 μB per atom

a = 4.7388 Å, b = 4.7388 Å, c = 11.9305 Å
α = 90.00°, β = 90.00°, γ = 90.00°
Fractional positions:
Ba 0.5000 0.0000 0.2373
Ba 0.0000 0.5000 0.7627
Ca 0.5000 0.5000 0.5000
Sn 0.5000 0.5000 0.0000
Sn 0.0000 0.0000 0.0000
Sn 0.5000 0.0000 0.6576
Sn 0.0000 0.5000 0.3424
Pt 0.0000 0.0000 0.5000
Pt 0.5000 0.0000 0.8838
Pt 0.0000 0.5000 0.1162



[4]
A geometry-optimized Ba2SrCaPt structure. Source: the Alexandria database, functional PBE-GGA.

N(E_F): 3.726 states/eV/f.u.
electronic total energy: -3.095 eV per atom
formation energy from the elements: -1.91 eV/f.u.
E above lowest polymorph: 20 meV per atom
magnetic moment: 0.000 μB per atom

a = 6.2759 Å, b = 6.2759 Å, c = 6.0603 Å
α = 90.00°, β = 90.00°, γ = 90.00°
Fractional positions:
Sr 0.0000 0.0000 0.5000
Ca 0.5000 0.5000 0.5000
Ba 0.0000 0.5000 0.0000
Ba 0.5000 0.0000 0.0000
Pt 0.0000 0.0000 0.0000



[5]
A geometry-optimized BaSr2CaPt structure. Source: the Alexandria database, functional PBE-GGA.

N(E_F): 4.230 states/eV/f.u.
electronic total energy: -3.091 eV per atom
formation energy from the elements: -2.12 eV/f.u.
E above lowest polymorph: 0 meV per atom
magnetic moment: 0.000 μB per atom

a = 6.0796 Å, b = 6.0796 Å, c = 5.8187 Å
α = 90.00°, β = 90.00°, γ = 90.00°
Fractional positions:
Sr 0.0000 0.5000 0.0000
Sr 0.5000 0.0000 0.0000
Ca 0.0000 0.0000 0.5000
Ba 0.5000 0.5000 0.5000
Pt 0.0000 0.0000 0.0000



[6]
A geometry-optimized BaSr2CaPt structure. Source: the Alexandria database, functional PBE-GGA.

N(E_F): 4.278 states/eV/f.u.
electronic total energy: -3.060 eV per atom
formation energy from the elements: -1.97 eV/f.u.
E above lowest polymorph: 30 meV per atom
magnetic moment: 0.000 μB per atom

a = 6.0374 Å, b = 6.0374 Å, c = 6.2351 Å
α = 90.00°, β = 90.00°, γ = 90.00°
Fractional positions:
Sr 0.0000 0.5000 0.0000
Sr 0.5000 0.0000 0.0000
Ca 0.5000 0.5000 0.5000
Ba 0.0000 0.0000 0.5000
Pt 0.0000 0.0000 0.0000



[7]
A geometry-optimized Ba2SrCaPt structure. Source: the Alexandria database, functional PBE-GGA.

N(E_F): 4.041 states/eV/f.u.
electronic total energy: -3.115 eV per atom
formation energy from the elements: -2.01 eV/f.u.
E above lowest polymorph: 0 meV per atom
magnetic moment: 0.000 μB per atom

a = 6.3219 Å, b = 6.3219 Å, c = 5.8055 Å
α = 90.00°, β = 90.00°, γ = 90.00°
Fractional positions:
Sr 0.5000 0.5000 0.5000
Ca 0.0000 0.0000 0.5000
Ba 0.0000 0.5000 0.0000
Ba 0.5000 0.0000 0.0000
Pt 0.0000 0.0000 0.0000



[8]
A geometry-optimized BaCaTa2Pt structure. Source: the Alexandria database, functional PBE-GGA.

N(E_F): 9.531 states/eV/f.u.
electronic total energy: -5.930 eV per atom
formation energy from the elements: 4.02 eV/f.u.
magnetic moment: 0.000 μB per atom

a = 5.0427 Å, b = 6.0362 Å, c = 5.0427 Å
α = 90.00°, β = 90.00°, γ = 90.00°
Fractional positions:
Ca 0.5000 0.5000 0.5000
Ba 0.0000 0.5000 0.0000
Pt 0.0000 0.0000 0.0000
Ta 0.0000 0.0000 0.5000
Ta 0.5000 0.0000 0.0000



Question: Among the records above, which one has the highest electronic total energy?
Answer: number 6



Question: Among the records above, which one has the lowest N(E_F)?
Answer: BaCa2SnPt